Entry 1:
PrDy5Cd3 GGA-PBE optimized geometry; crystal system = hexagonal; spin magnetization = 0.00 μB per formula unit; N(E_F) = 6.4 states/eV/f.u.; DFT formation energy = -0.17 eV per atom
1.0
-3.6724 2.3590 5.4515
4.1268 -6.1909 5.4590
3.7188 8.3714 -1.1174
Pr Dy Cd
2 10 6
direct
0.0000 0.0000 0.0000 Pr
0.5000 0.0000 0.0000 Pr
0.0000 0.6667 0.3333 Dy
0.5000 0.3333 0.6667 Dy
0.0000 0.3333 0.6667 Dy
0.5000 0.6667 0.3333 Dy
0.7500 0.6671 0.6671 Dy
0.7500 0.0000 0.3329 Dy
0.7500 0.3329 0.0000 Dy
0.2500 0.3329 0.3329 Dy
0.2500 0.0000 0.6671 Dy
0.2500 0.6671 0.0000 Dy
0.7500 0.3386 0.3386 Cd
0.7500 0.0000 0.6614 Cd
0.7500 0.6613 0.0000 Cd
0.2500 0.6614 0.6614 Cd
0.2500 0.0000 0.3386 Cd
0.2500 0.3387 0.0000 Cd

***

Entry 2:
Y3HPb2 GGA-PBE optimized geometry; electronic total energy = -65.883 eV per cell; crystal system = monoclinic; spin magnetization = 0.00 μB per formula unit; N(E_F) = 4.1 states/eV/f.u.
1.0
6.3031 0.0000 0.0000
0.0000 8.7512 0.3034
-3.1516 -1.7141 5.5050
Y H Pb
6 2 4
direct
0.3353 0.2500 0.0000 Y
0.6647 0.7500 0.0000 Y
0.0221 0.1560 0.2896 Y
0.7325 0.3440 0.7104 Y
0.2675 0.6560 0.2896 Y
0.9779 0.8440 0.7104 Y
0.0005 0.7500 0.0000 H
0.9995 0.2500 0.0000 H
0.7659 0.5052 0.2840 Pb
0.5181 0.0052 0.2840 Pb
0.4819 0.9948 0.7160 Pb
0.2341 0.4948 0.7160 Pb

***

Entry 3:
K2IBr2 GGA-PBE optimized geometry; crystal system = tetragonal; spin magnetization = 0.00 μB per formula unit; N(E_F) = 1.5 states/eV/f.u.; energy relative to the elements, uncorrected = -595 kJ/mol of formula units
1.0
-1.6974 4.9450 3.5856
-6.0776 -0.9954 -1.5043
-4.3636 -1.0208 4.9465
I K Br
1 2 2
direct
0.0000 0.0000 0.0000 I
0.7500 0.2500 0.5000 K
0.2500 0.7500 0.5000 K
0.3379 0.3379 0.3242 Br
0.6621 0.6621 0.6758 Br